[1]
First-principles (PBE-GGA) data for a relaxed Ba3Bi crystal, as listed in Alexandria via LeMat-Bulk.

Cell and atoms, written as POSCAR:
```
Ba3Bi
1.0
-2.722 2.722 6.126
2.722 -2.722 6.126
2.722 2.722 -6.126
Ba Bi
3 1
direct
0.000 0.000 0.000
0.250 0.750 0.500
0.750 0.250 0.500
0.500 0.500 0.000
```

Calculated values
Its total magnetization is 0.00 μB/f.u. Its electronic total energy is -2.8084 eV/atom. The calculation puts the formation energy from the elements at -0.40 eV per atom. The space group is I4/mmm, No. 139.

***

[2]
First-principles (PBE-GGA) data for a relaxed GdDyRuRh crystal, as listed in Alexandria via LeMat-Bulk.

Cell and atoms, written as POSCAR:
```
GdDyRuRh
1.0
0.000 3.428 3.428
3.428 0.000 3.428
3.428 3.428 0.000
Gd Dy Ru Rh
1 1 1 1
direct
0.000 0.000 0.000
0.500 0.500 0.500
0.750 0.750 0.750
0.250 0.250 0.250
```

Calculated values
Its total magnetization is 7.08 μB/f.u. Its electronic total energy is -9.4074 eV/atom. The calculation puts the formation energy from the elements at -0.58 eV per atom. The space group is F-43m, No. 216.

***

[3]
First-principles (PBE-GGA) data for a relaxed PbAuO2F crystal, as listed in Alexandria via LeMat-Bulk.

Cell and atoms, written as POSCAR:
```
PbAuO2F
1.0
4.117 0.000 0.000
0.000 4.117 0.000
0.000 0.000 4.303
Pb Au O F
1 1 2 1
direct
0.000 0.000 0.000
0.500 0.500 0.500
0.000 0.500 0.500
0.500 0.000 0.500
0.500 0.500 0.000
```

Calculated values
Its total magnetization is 0.00 μB/f.u. Its electronic total energy is -4.2580 eV/atom. The raw formation energy is -0.50 eV per atom. The space group is P4/mmm, No. 123.

***

[4]
First-principles (PBE-GGA) data for a relaxed CsMnSn2Cl8 crystal, as listed in Alexandria via LeMat-Bulk.

Cell and atoms, written as POSCAR:
```
CsMnSn2Cl8
1.0
6.139 0.000 0.000
1.815 7.367 0.000
2.316 1.783 8.852
Cs Mn Sn Cl
1 1 2 8
direct
0.000 0.000 0.000
0.000 0.000 0.500
0.396 0.450 0.240
0.604 0.550 0.760
0.196 0.693 0.730
0.229 0.190 0.510
0.266 0.885 0.314
0.430 0.282 0.016
0.570 0.718 0.984
0.734 0.115 0.686
0.771 0.810 0.490
0.804 0.307 0.270
```

Calculated values
Its total magnetization is 3.95 μB/f.u. Its electronic total energy is -3.8836 eV/atom. The raw formation energy is -1.15 eV per atom. The space group is P-1, No. 2.

***

[5]
First-principles (PBE-GGA) data for a relaxed LiFe2Re crystal, as listed in Alexandria via LeMat-Bulk.

Cell and atoms, written as POSCAR:
```
LiFe2Re
1.0
-1.766 1.766 3.840
1.766 -1.766 3.840
1.766 1.766 -3.840
Li Fe Re
1 2 1
direct
0.000 0.000 0.000
0.500 0.500 0.000
0.750 0.250 0.500
0.250 0.750 0.500
```

Calculated values
Its total magnetization is 0.50 μB/f.u. Its electronic total energy is -7.5027 eV/atom. The calculation puts the formation energy from the elements at 0.32 eV per atom. The space group is I-4m2, No. 119.

***

[6]
First-principles (PBE-GGA) data for a relaxed Hg2SbSeS2 crystal, as listed in Alexandria via LeMat-Bulk.

Cell and atoms, written as POSCAR:
```
Hg2SbSeS2
1.0
6.048 -4.817 0.000
6.048 4.817 0.000
0.000 0.000 5.759
Hg Sb Se S
4 2 2 4
direct
0.026 0.315 0.000
0.315 0.026 0.500
0.685 0.974 0.000
0.974 0.685 0.500
0.303 0.697 0.991
0.697 0.303 0.491
0.345 0.655 0.441
0.655 0.345 0.941
0.025 0.307 0.490
0.307 0.025 0.990
0.693 0.975 0.490
0.975 0.693 0.990
```

Calculated values
Its total magnetization is 0.00 μB/f.u. Its electronic total energy is -2.7655 eV/atom. The raw formation energy is -0.02 eV per atom. The space group is Cmc2_1, No. 36.

***

[7]
First-principles (PBE-GGA) data for a relaxed Ca2CuGe3Ir4 crystal, as listed in Alexandria via LeMat-Bulk.

Cell and atoms, written as POSCAR:
```
Ca2CuGe3Ir4
1.0
4.175 0.000 0.000
0.000 4.175 0.000
0.000 0.000 10.381
Ca Cu Ge Ir
2 1 3 4
direct
0.000 0.500 0.245
0.500 0.000 0.755
0.500 0.500 0.000
0.000 0.000 0.000
0.000 0.500 0.630
0.500 0.000 0.370
0.000 0.000 0.500
0.000 0.500 0.865
0.500 0.000 0.135
0.500 0.500 0.500
```

Calculated values
Its total magnetization is 0.00 μB/f.u. Its electronic total energy is -6.2784 eV/atom. The calculation puts the formation energy from the elements at -0.54 eV per atom. The space group is P-4m2, No. 115.

***

[8]
First-principles (PBE-GGA) data for a relaxed LiMo2As crystal, as listed in Alexandria via LeMat-Bulk.

Cell and atoms, written as POSCAR:
```
LiMo2As
1.0
-1.845 1.845 9.409
1.845 -1.845 9.409
1.845 1.845 -9.409
Li Mo As
2 4 2
direct
0.000 0.000 0.000
0.750 0.250 0.500
0.108 0.625 0.983
0.375 0.358 0.483
0.642 0.125 0.017
0.875 0.892 0.517
0.250 0.750 0.500
0.500 0.500 0.000
```

Calculated values
Its total magnetization is 0.00 μB/f.u. Its electronic total energy is -6.7165 eV/atom. The calculation puts the formation energy from the elements at 0.34 eV per atom. The space group is I-42d, No. 122.

***

[9]
First-principles (PBE-GGA) data for a relaxed LiSn2SbH crystal, as listed in Alexandria via LeMat-Bulk.

Cell and atoms, written as POSCAR:
```
LiSn2SbH
1.0
4.966 0.000 0.000
0.000 4.966 0.000
0.000 0.000 4.231
Li Sn Sb H
1 2 1 1
direct
0.000 0.000 0.000
0.000 0.500 0.500
0.500 0.000 0.500
0.500 0.500 0.000
0.000 0.000 0.500
```

Calculated values
Its total magnetization is 0.00 μB/f.u. Its electronic total energy is -3.4385 eV/atom. The space group is P4/mmm, No. 123.

***

[10]
First-principles (PBE-GGA) data for a relaxed Pr2NdHg6 crystal, as listed in Alexandria via LeMat-Bulk.

Cell and atoms, written as POSCAR:
```
Pr2NdHg6
1.0
8.787 0.000 0.000
-4.394 7.610 0.000
0.000 0.000 3.509
Pr Nd Hg
2 1 6
direct
0.333 0.667 0.000
0.667 0.333 0.000
0.000 0.000 0.000
0.000 0.333 0.500
0.000 0.667 0.500
0.333 0.000 0.500
0.333 0.333 0.500
0.667 0.000 0.500
0.667 0.667 0.500
```

Calculated values
Its total magnetization is 0.60 μB/f.u. Its electronic total energy is -2.2288 eV/atom. The calculation puts the formation energy from the elements at -0.44 eV per atom. The space group is P6/mmm, No. 191.

***

[11]
First-principles (PBE-GGA) data for a relaxed Li2AsRh2 crystal, as listed in Alexandria via LeMat-Bulk.

Cell and atoms, written as POSCAR:
```
Li2AsRh2
1.0
6.125 0.000 0.000
0.000 6.125 0.000
0.000 0.000 4.244
Li As Rh
4 2 4
direct
0.160 0.340 0.000
0.340 0.840 0.000
0.660 0.160 0.000
0.840 0.660 0.000
0.000 0.000 0.500
0.500 0.500 0.500
0.149 0.649 0.500
0.351 0.149 0.500
0.649 0.851 0.500
0.851 0.351 0.500
```

Calculated values
Its total magnetization is 0.00 μB/f.u. Its electronic total energy is -5.0725 eV/atom. The calculation puts the formation energy from the elements at -0.44 eV per atom. The space group is P4/mbm, No. 127.

***

[12]
First-principles (PBE-GGA) data for a relaxed GdLuPt2 crystal, as listed in Alexandria via LeMat-Bulk.

Cell and atoms, written as POSCAR:
```
GdLuPt2
1.0
3.463 0.000 0.000
0.000 3.463 0.000
0.000 0.000 7.000
Gd Lu Pt
1 1 2
direct
0.000 0.000 0.000
0.000 0.000 0.500
0.500 0.500 0.265
0.500 0.500 0.735
```

Calculated values
Its total magnetization is 7.11 μB/f.u. Its electronic total energy is -8.8993 eV/atom. The calculation puts the formation energy from the elements at -1.23 eV per atom. The space group is P4/mmm, No. 123.

***

[13]
First-principles (PBE-GGA) data for a relaxed PmZrScIr2 crystal, as listed in Alexandria via LeMat-Bulk.

Cell and atoms, written as POSCAR:
```
PmZrScIr2
1.0
-2.196 2.196 5.763
2.196 -2.196 5.763
2.196 2.196 -5.763
Pm Zr Sc Ir
1 1 1 2
direct
0.000 0.000 0.000
0.750 0.250 0.500
0.250 0.750 0.500
0.387 0.387 0.000
0.613 0.613 0.000
```

Calculated values
Its total magnetization is 0.00 μB/f.u. Its electronic total energy is -8.2259 eV/atom. The calculation puts the formation energy from the elements at -0.76 eV per atom. The space group is I-4m2, No. 119.

***

[14]
First-principles (PBE-GGA) data for a relaxed Rb2Pu3BiO12 crystal, as listed in Alexandria via LeMat-Bulk.

Cell and atoms, written as POSCAR:
```
Rb2Pu3BiO12
1.0
3.998 2.308 6.268
-3.998 2.308 6.268
0.000 -4.616 6.268
Rb Pu Bi O
2 3 1 12
direct
0.127 0.127 0.127
0.873 0.873 0.873
0.000 0.500 0.500
0.500 0.000 0.500
0.500 0.500 0.000
0.500 0.500 0.500
0.144 0.582 0.582
0.195 0.195 0.572
0.195 0.572 0.195
0.418 0.418 0.856
0.418 0.856 0.418
0.428 0.805 0.805
0.572 0.195 0.195
0.582 0.144 0.582
0.582 0.582 0.144
0.805 0.428 0.805
0.805 0.805 0.428
0.856 0.418 0.418
```

Calculated values
Its total magnetization is 5.00 μB/f.u. Its electronic total energy is -8.2312 eV/atom. The raw formation energy is -2.21 eV per atom. The space group is R-3m, No. 166.

***

[15]
First-principles (PBE-GGA) data for a relaxed BeFeP2 crystal, as listed in Alexandria via LeMat-Bulk.

Cell and atoms, written as POSCAR:
```
BeFeP2
1.0
-1.535 1.980 3.592
1.535 -1.980 3.592
1.535 1.980 -3.592
Be Fe P
1 1 2
direct
0.000 0.000 0.000
0.271 0.771 0.500
0.531 0.531 0.000
0.776 0.276 0.500
```

Calculated values
Its total magnetization is 0.27 μB/f.u. Its electronic total energy is -5.5575 eV/atom. The calculation puts the formation energy from the elements at 0.19 eV per atom. The space group is Imm2, No. 44.

***

[16]
First-principles (PBE-GGA) data for a relaxed NaAg3Pb crystal, as listed in Alexandria via LeMat-Bulk.

Cell and atoms, written as POSCAR:
```
NaAg3Pb
1.0
8.023 0.000 0.000
0.000 6.127 0.000
-2.616 0.000 8.787
Na Ag Pb
4 12 4
direct
0.183 0.001 0.296
0.183 0.499 0.796
0.817 0.501 0.204
0.817 0.999 0.704
0.013 0.750 0.003
0.013 0.750 0.503
0.200 0.006 0.801
0.200 0.494 0.301
0.352 0.247 0.588
0.352 0.253 0.088
0.648 0.747 0.912
0.648 0.753 0.412
0.800 0.506 0.699
0.800 0.994 0.199
0.987 0.250 0.497
0.987 0.250 0.997
0.408 0.750 0.102
0.408 0.750 0.602
0.592 0.250 0.398
0.592 0.250 0.898
```

Calculated values
Its total magnetization is 0.00 μB/f.u. Its electronic total energy is -2.6822 eV/atom. The calculation puts the formation energy from the elements at 0.03 eV per atom. The space group is P2_1/c, No. 14.

***

[17]
First-principles (PBE-GGA) data for a relaxed Nd2HfAl crystal, as listed in Alexandria via LeMat-Bulk.

Cell and atoms, written as POSCAR:
```
Nd2HfAl
1.0
4.671 0.000 0.000
0.000 4.671 0.000
0.000 0.000 4.762
Nd Hf Al
2 1 1
direct
0.000 0.500 0.000
0.500 0.000 0.000
0.000 0.000 0.500
0.500 0.500 0.500
```

Calculated values
Its total magnetization is 0.00 μB/f.u. Its electronic total energy is -5.8428 eV/atom. The calculation puts the formation energy from the elements at -0.03 eV per atom. The space group is P4/mmm, No. 123.

***

[18]
First-principles (PBE-GGA) data for a relaxed RbGaAs crystal, as listed in Alexandria via LeMat-Bulk.

Cell and atoms, written as POSCAR:
```
RbGaAs
1.0
6.711 -2.033 0.000
6.711 2.033 0.000
-2.926 0.000 8.147
Rb Ga As
2 2 2
direct
0.000 0.000 0.000
0.113 0.113 0.492
0.351 0.351 0.231
0.847 0.847 0.508
0.437 0.437 0.642
0.721 0.721 0.235
```

Calculated values
Its total magnetization is 0.00 μB/f.u. Its electronic total energy is -3.2129 eV/atom. The calculation puts the formation energy from the elements at -0.33 eV per atom. The space group is Cm, No. 8.

***

[19]
First-principles (PBE-GGA) data for a relaxed MgSiSe2 crystal, as listed in Alexandria via LeMat-Bulk.

Cell and atoms, written as POSCAR:
```
MgSiSe2
1.0
3.890 0.000 0.000
0.000 3.890 0.000
0.000 0.000 5.526
Mg Si Se
1 1 2
direct
0.000 0.000 0.000
0.500 0.500 0.519
0.000 0.000 0.496
0.500 0.500 0.976
```

Calculated values
Its total magnetization is 0.00 μB/f.u. Its electronic total energy is -4.0803 eV/atom. The raw formation energy is -0.58 eV per atom. The space group is P4mm, No. 99.

***

[20]
First-principles (PBE-GGA) data for a relaxed ScIn3Au crystal, as listed in Alexandria via LeMat-Bulk.

Cell and atoms, written as POSCAR:
```
ScIn3Au
1.0
5.585 0.000 0.000
0.000 5.585 0.000
0.000 0.000 5.585
Sc In Au
1 3 1
direct
0.000 0.000 0.000
0.000 0.000 0.500
0.000 0.500 0.000
0.500 0.000 0.000
0.500 0.500 0.500
```

Calculated values
Its total magnetization is 1.00 μB/f.u. Its electronic total energy is -2.8829 eV/atom. The calculation puts the formation energy from the elements at 0.68 eV per atom. The space group is Pm-3m, No. 221.